LiSiTe2: relaxed, PBE.

ΔE to the lowest computed polymorph in eV/atom: 0.604
Formation energy from raw total energies in meV/atom: 307

```
data_LiSiTe2
_cell_length_a 7.298
_cell_length_b 7.298
_cell_length_c 7.298
_cell_angle_alpha 90.00
_cell_angle_beta 90.00
_cell_angle_gamma 90.00
_symmetry_space_group_name_H-M 'F -4 3 m'
_symmetry_Int_Tables_number 216
_symmetry_space_group_name_Hall 'F -4 2 3'
loop_
_atom_site_label
_atom_site_fract_x
_atom_site_fract_y
_atom_site_fract_z
Li1 0.000 0.000 0.000
Si1 0.250 0.250 0.250
Te1 0.000 0.000 0.500
Te2 0.250 0.250 0.750
```